# 1
A plane-wave DFT calculation with PBEsol was carried out for a geometry-optimized BaYC3 structure.

abc: 4.477 4.477 4.477
angles: 90.00 90.00 90.00
Space group Pm-3m (No. 221)
Symmetry-distinct sites (fractional):
Ba  0.000  0.000  0.000
Y  0.500  0.500  0.500
C  0.000  0.000  0.500

Properties
Energy = -4.955 eV per atom
Crystal system = cubic

# 2
A plane-wave DFT calculation with PBEsol was carried out for a geometry-optimized BaY2C structure.

abc: 10.485 10.485 10.485
angles: 90.00 90.00 90.00
Space group Fd-3m (No. 227, origin choice 2)
Symmetry-distinct sites (fractional):
Ba  0.125  0.125  0.125
Y  0.000  0.000  0.500
C  0.125  0.125  0.625

Properties
Energy = -6.180 eV per atom
Crystal system = cubic

# 3
A plane-wave DFT calculation with PBEsol was carried out for a geometry-optimized BaZn3C structure.

abc: 4.561 4.561 4.561
angles: 90.00 90.00 90.00
Space group Pm-3m (No. 221)
Symmetry-distinct sites (fractional):
Ba  0.000  0.000  0.000
Zn  0.000  0.500  0.500
C  0.500  0.500  0.500

Properties
Energy = -2.612 eV per atom
Crystal system = cubic

# 4
A plane-wave DFT calculation with PBEsol was carried out for a geometry-optimized Ba3ZrC structure.

abc: 5.667 5.667 5.667
angles: 90.00 90.00 90.00
Space group Pm-3m (No. 221)
Symmetry-distinct sites (fractional):
Ba  0.000  0.000  0.500
Zr  0.500  0.500  0.500
C  0.000  0.000  0.000

Properties
Energy = -4.066 eV per atom
Crystal system = cubic

# 5
A plane-wave DFT calculation with PBEsol was carried out for a geometry-optimized BaZr3C structure.

abc: 4.724 4.724 4.724
angles: 90.00 90.00 90.00
Space group Pm-3m (No. 221)
Symmetry-distinct sites (fractional):
Ba  0.000  0.000  0.000
Zr  0.000  0.500  0.500
C  0.500  0.500  0.500

Properties
Energy = -7.581 eV per atom
Crystal system = cubic

# 6
A plane-wave DFT calculation with PBEsol was carried out for a geometry-optimized Ba3Ca structure.

abc: 5.946 5.946 24.458
angles: 90.00 90.00 90.00
Space group I4/mmm (No. 139)
Symmetry-distinct sites (fractional):
Ba  0.000  0.000  0.124
Ba  0.000  0.500  0.000
Ba  0.000  0.500  0.250
Ca  0.000  0.000  0.374

Properties
Energy above the lowest structure with this stoichiometry = 0.0200 eV/atom
Crystal system = tetragonal

# 7
A plane-wave DFT calculation with PBEsol was carried out for a geometry-optimized BaCa structure.

abc: 4.519 6.609 13.156
angles: 90.00 90.00 90.00
Space group Imma (No. 74)
Symmetry-distinct sites (fractional):
Ba  0.000  0.250  0.117
Ca  0.000  0.250  0.635

Properties
Energy above the lowest structure with this stoichiometry = 0.0145 eV/atom
Crystal system = orthorhombic

# 8
A plane-wave DFT calculation with PBEsol was carried out for a geometry-optimized BaCa3 structure.

abc: 3.940 6.510 6.911
angles: 90.00 90.00 90.00
Space group Pmm2 (No. 25)
Symmetry-distinct sites (fractional):
Ba  0.000  0.000  0.000
Ca  0.000  0.500  0.332
Ca  0.500  0.000  0.500
Ca  0.500  0.500  0.822

Properties
Energy = -2.109 eV per atom
Crystal system = orthorhombic

# 9
A plane-wave DFT calculation with PBEsol was carried out for a geometry-optimized BaCa3 structure.

abc: 6.248 6.248 4.515
angles: 90.00 90.00 90.00
Space group P4/mmm (No. 123)
Symmetry-distinct sites (fractional):
Ba  0.000  0.000  0.000
Ca  0.000  0.500  0.500
Ca  0.500  0.500  0.000

Properties
Energy = -2.107 eV per atom
Crystal system = tetragonal

# 10
A plane-wave DFT calculation with PBEsol was carried out for a geometry-optimized BaCa5 structure.

abc: 6.7936 6.7936 6.4703
angles: 90.00 90.00 120.00
Space group P-62m (No. 189)
Symmetry-distinct sites (fractional):
Ba  0.0000  0.0000  0.0000
Ca  0.0000  0.3414  0.5000
Ca  0.3333  0.6667  0.0000

Properties
Energy above the lowest structure with this stoichiometry = 0.0000 eV/atom
Crystal system = hexagonal

# 11
A plane-wave DFT calculation with PBEsol was carried out for a geometry-optimized BaCa structure.

abc: 4.653 4.653 9.047
angles: 90.00 90.00 90.00
Space group P4/nmm (No. 129, origin choice 2)
Symmetry-distinct sites (fractional):
Ba  0.250  0.250  0.146
Ca  0.250  0.250  0.605

Properties
Energy above the lowest structure with this stoichiometry = 0.0000 eV/atom
Crystal system = tetragonal

# 12
A plane-wave DFT calculation with PBEsol was carried out for a geometry-optimized BaCa2 structure.

abc: 3.971 20.993 6.593
angles: 90.00 90.00 90.00
Space group Cmcm (No. 63)
Symmetry-distinct sites (fractional):
Ba  0.000  0.113  0.250
Ca  0.000  0.219  0.750
Ca  0.000  0.443  0.250

Properties
Energy above the lowest structure with this stoichiometry = 0.0016 eV/atom
Crystal system = orthorhombic

# 13
A plane-wave DFT calculation with PBEsol was carried out for a geometry-optimized Ba3Ca structure.

abc: 4.2148 4.2148 41.6778
angles: 90.00 90.00 120.00
Space group R-3m (No. 166, hexagonal axes)
Symmetry-distinct sites (fractional):
Ba  0.0000  0.0000  0.0000
Ba  0.0000  0.0000  0.2464
Ca  0.0000  0.0000  0.5000

Properties
Energy above the lowest structure with this stoichiometry = 0.0219 eV/atom
Crystal system = trigonal

# 14
A plane-wave DFT calculation with PBEsol was carried out for a geometry-optimized Ba17Ca12 structure.

abc: 14.418 14.418 14.418
angles: 90.00 90.00 90.00
Space group I-43m (No. 217)
Symmetry-distinct sites (fractional):
Ba  0.000  0.000  0.000
Ba  0.045  0.361  0.361
Ba  0.178  0.178  0.822
Ca  0.092  0.092  0.276

Properties
Energy = -2.095 eV per atom
Crystal system = cubic

Number 1: mass density 4.85 g/cm³, DOS(E_F) 4.2 states/eV/cell. Number 2: mass density 3.77 g/cm³, DOS(E_F) 38.5 states/eV/cell. Number 3: mass density 6.05 g/cm³, DOS(E_F) 1.6 states/eV/cell. Number 4: mass density 4.70 g/cm³, DOS(E_F) 8.6 states/eV/cell. Number 5: mass density 6.66 g/cm³, DOS(E_F) 6.1 states/eV/cell. Number 6: mass density 3.47 g/cm³, DOS(E_F) 26.0 states/eV/cell. Number 7: mass density 3.00 g/cm³, DOS(E_F) 12.6 states/eV/cell. Number 8: mass density 2.41 g/cm³, DOS(E_F) 4.6 states/eV/cell. Number 9: mass density 2.43 g/cm³, DOS(E_F) 4.7 states/eV/cell. Number 10: mass density 2.17 g/cm³, DOS(E_F) 7.0 states/eV/cell. Number 11: mass density 3.01 g/cm³, DOS(E_F) 5.0 states/eV/cell. Number 12: mass density 2.63 g/cm³, DOS(E_F) 15.8 states/eV/cell. Number 13: mass density 3.51 g/cm³, DOS(E_F) 18.5 states/eV/cell. Number 14: mass density 3.12 g/cm³, DOS(E_F) 90.8 states/eV/cell.